A relaxed Gd2TmMg3Pt2Au crystal. Source: OQMD, functional GGA-PBE.

Computed properties:
The space group is No. 38. Its volume is 21.74 A^3/atom. The calculation puts the total moment at 0.01 μB/f.u. Its total energy is -4.623 eV/atom.

a b c (Å): 4.0485 7.4603 7.4603
angles (deg): 119.75 90.00 90.00
Element x y z (fractional)
Gd 0.0000 0.2084 0.7916
Gd 0.0000 0.7916 0.2084
Tm 0.0000 0.6235 0.6235
Mg 0.5000 0.2100 0.4593
Mg 0.5000 0.4593 0.2100
Mg 0.5000 0.9562 0.9562
Pt 0.5000 0.5427 0.8704
Pt 0.5000 0.8704 0.5427
Au 0.0000 0.2116 0.2116